Entry from Alexandria via LeMat-Bulk: Sc2PaCo after structural relaxation (GGA-PBE).

a b c (Å): 5.769 6.506 9.072
angles (deg): 90.00 90.00 90.00
Positions (direct):
Co1 0.536 0.134 0.750
Sc1 0.665 0.824 0.937
Co2 0.464 0.866 0.250
Sc2 0.335 0.176 0.437
Sc3 0.165 0.676 0.437
Pa1 0.841 0.046 0.250
Sc4 0.835 0.324 0.563
Sc5 0.835 0.324 0.937
Sc6 0.335 0.176 0.063
Co3 0.036 0.366 0.250
Pa2 0.159 0.954 0.750
Co4 0.964 0.634 0.750
Pa3 0.659 0.546 0.250
Sc7 0.665 0.824 0.563
Pa4 0.341 0.454 0.750
Sc8 0.165 0.676 0.063

Values from the calculation:
VASP energy	-7.533	eV per atom
formation energy	-0.22	eV/atom

Entry from Alexandria via LeMat-Bulk: Ce2LuNb after structural relaxation (GGA-PBE).

a b c (Å): 4.922 4.513 4.513
angles (deg): 90.00 90.00 90.00
Positions (direct):
Ce1 0.000 0.000 0.500
Ce2 0.000 0.500 0.000
Lu1 0.500 0.000 0.000
Nb1 0.500 0.500 0.500

Values from the calculation:
VASP energy	-6.375	eV per atom
formation energy	0.24	eV/atom

Entry from Alexandria via LeMat-Bulk: ThCrCl after structural relaxation (GGA-PBE).

a b c (Å): 4.038 5.809 11.302
angles (deg): 90.97 69.07 45.93
Site moments in Bohr magnetons follow the coordinates.
Positions (direct):
Cl1 0.982 0.929 0.570  0.02
Th1 0.426 0.957 0.099  -0.18
Cr1 0.782 0.279 0.420  3.14
Th2 0.954 0.693 0.335  -0.18
Cl2 0.397 0.722 0.863  0.02
Cr2 0.597 0.372 0.013  3.14

Values from the calculation:
VASP energy	-6.548	eV per atom

Entry from Alexandria via LeMat-Bulk: Pr2YTe after structural relaxation (GGA-PBE).

a b c (Å): 4.037 4.037 7.947
angles (deg): 90.00 90.00 90.00
Positions (direct):
Pr1 0.000 0.000 0.775
Pr2 0.000 0.000 0.225
Y1 0.500 0.500 0.500
Te1 0.500 0.500 0.000

Values from the calculation:
VASP energy	-5.367	eV per atom

Entry from Alexandria via LeMat-Bulk: CaYIr after structural relaxation (GGA-PBE).

a b c (Å): 7.896 4.173 11.129
angles (deg): 90.00 121.89 90.00
Positions (direct):
Ir1 0.606 0.000 0.184
Ca1 0.578 0.500 0.969
Ir2 0.606 0.500 0.684
Y1 0.033 0.000 0.247
Ca2 0.858 0.000 0.882
Ir3 0.269 0.000 0.916
Ca3 0.578 0.000 0.469
Y2 0.328 0.000 0.645
Ir4 0.269 0.500 0.416
Y3 0.328 0.500 0.145
Y4 0.033 0.500 0.747
Ca4 0.858 0.500 0.382

Values from the calculation:
VASP energy	-6.257	eV per atom
formation energy	-0.48	eV/atom

Entry from Alexandria via LeMat-Bulk: Y3Ho5Tl2 after structural relaxation (GGA-PBE).

a b c (Å): 6.410 10.506 10.506
angles (deg): 94.08 72.24 72.24
Positions (direct):
Ho1 0.498 0.252 0.252
Ho2 0.885 0.451 0.780
Ho3 0.250 0.500 0.500
Y1 0.750 0.000 0.000
Ho4 0.002 0.748 0.748
Tl1 0.367 0.987 0.278
Y2 0.882 0.892 0.344
Ho5 0.385 0.780 0.451
Tl2 0.867 0.278 0.987
Y3 0.382 0.344 0.892
Ho6 0.750 0.500 0.500
Ho7 0.502 0.748 0.748
Y4 0.250 0.000 0.000
Tl3 0.633 0.013 0.722
Ho8 0.998 0.252 0.252
Y5 0.618 0.656 0.108
Ho9 0.615 0.220 0.549
Y6 0.118 0.108 0.656
Tl4 0.133 0.722 0.013
Ho10 0.115 0.549 0.220

Values from the calculation:
VASP energy	-4.580	eV per atom
formation energy	0.12	eV/atom

Entry from Alexandria via LeMat-Bulk: Er2Zn3Co2 after structural relaxation (GGA-PBE).

a b c (Å): 4.126 5.220 6.291
angles (deg): 102.46 90.00 113.28
Site moments in Bohr magnetons follow the coordinates.
Positions (direct):
Zn1 0.300 0.600 0.128  -0.01
Co1 0.082 0.164 0.660  0.52
Zn2 0.000 0.000 0.000  -0.01
Co2 0.918 0.836 0.340  0.52
Zn3 0.700 0.400 0.872  -0.01
Er1 0.622 0.244 0.349  -0.08
Er2 0.378 0.756 0.651  -0.08

Values from the calculation:
VASP energy	-4.152	eV per atom
formation energy	-0.27	eV/atom

Entry from Alexandria via LeMat-Bulk: Ce3PmAu4 after structural relaxation (GGA-PBE).

a b c (Å): 3.672 3.672 14.940
angles (deg): 90.00 90.00 90.00
Site moments in Bohr magnetons follow the coordinates.
Positions (direct):
Au1 0.000 0.000 0.123  0.00
Ce1 0.500 0.500 0.250  0.89
Au2 0.000 0.000 0.877  0.00
Au3 0.000 0.000 0.375  0.00
Ce2 0.500 0.500 0.500  0.87
Au4 0.000 0.000 0.625  0.00
Ce3 0.500 0.500 0.750  0.89
Pm1 0.500 0.500 0.000  0.04

Values from the calculation:
VASP energy	-5.096	eV per atom
formation energy	-0.64	eV/atom

> What is the VASP energy in the second record?

-6.375 eV per atom